The following is a GGA-PBE calculation of crystalline Np2Ge4Rh5 at its relaxed geometry, from Alexandria via LeMat-Bulk.

a b c (Å): 8.805 7.905 5.569
angles (deg): 79.55 61.99 38.46
Fractional coordinates of all 11 atoms:
Np1 0.115 0.115 0.885
Np2 0.885 0.885 0.115
Ge1 0.214 0.522 0.478
Ge2 0.478 0.786 0.214
Ge3 0.522 0.214 0.786
Ge4 0.786 0.478 0.522
Rh1 0.000 0.000 0.500
Rh2 0.250 0.250 0.250
Rh3 0.500 0.500 0.000
Rh4 0.500 0.500 0.500
Rh5 0.750 0.750 0.750

Calculated values
Total energy, eV for the cell shown: -86.03
Space group: Fmmm, No. 69

***

The following is a GGA-PBE calculation of crystalline NpGe6Rh12 at its relaxed geometry, from Alexandria via LeMat-Bulk.

a b c (Å): 7.126 7.126 7.126
angles (deg): 106.05 106.05 106.05
Fractional coordinates of all 19 atoms:
Np1 0.000 0.000 0.000
Ge1 0.253 0.253 0.694
Ge2 0.253 0.694 0.253
Ge3 0.306 0.747 0.747
Ge4 0.694 0.253 0.253
Ge5 0.747 0.306 0.747
Ge6 0.747 0.747 0.306
Rh1 0.129 0.500 0.871
Rh2 0.129 0.871 0.500
Rh3 0.179 0.421 0.421
Rh4 0.421 0.179 0.421
Rh5 0.421 0.421 0.179
Rh6 0.500 0.129 0.871
Rh7 0.500 0.871 0.129
Rh8 0.579 0.579 0.821
Rh9 0.579 0.821 0.579
Rh10 0.821 0.579 0.579
Rh11 0.871 0.129 0.500
Rh12 0.871 0.500 0.129

Calculated values
Total energy, eV for the cell shown: -135.37
Space group: R-3m, No. 166

***

The following is a GGA-PBE calculation of crystalline Np2Ge7Rh12 at its relaxed geometry, from Alexandria via LeMat-Bulk.

a b c (Å): 10.009 10.009 3.898
angles (deg): 90.00 90.00 120.00
Fractional coordinates of all 21 atoms:
Np1 0.333 0.667 0.249
Np2 0.667 0.333 0.751
Ge1 0.000 0.000 0.000
Ge2 0.112 0.710 0.750
Ge3 0.290 0.402 0.750
Ge4 0.402 0.112 0.250
Ge5 0.598 0.888 0.750
Ge6 0.710 0.598 0.250
Ge7 0.888 0.290 0.250
Rh1 0.064 0.445 0.749
Rh2 0.120 0.263 0.249
Rh3 0.143 0.880 0.249
Rh4 0.263 0.143 0.751
Rh5 0.380 0.936 0.749
Rh6 0.445 0.380 0.251
Rh7 0.555 0.620 0.749
Rh8 0.620 0.064 0.251
Rh9 0.737 0.857 0.249
Rh10 0.857 0.120 0.751
Rh11 0.880 0.737 0.751
Rh12 0.936 0.555 0.251

Calculated values
Total energy, eV for the cell shown: -157.86
Space group: P-3, No. 147

***

The following is a GGA-PBE calculation of crystalline Np4Ge6Rh7 at its relaxed geometry, from Alexandria via LeMat-Bulk.

a b c (Å): 7.304 7.304 7.304
angles (deg): 109.47 109.47 109.47
Fractional coordinates of all 17 atoms:
Np1 0.000 0.000 0.500
Np2 0.000 0.500 0.000
Np3 0.500 0.000 0.000
Np4 0.500 0.500 0.500
Ge1 0.000 0.316 0.316
Ge2 0.000 0.684 0.684
Ge3 0.316 0.000 0.316
Ge4 0.316 0.316 0.000
Ge5 0.684 0.000 0.684
Ge6 0.684 0.684 0.000
Rh1 0.000 0.000 0.000
Rh2 0.250 0.500 0.750
Rh3 0.250 0.750 0.500
Rh4 0.500 0.250 0.750
Rh5 0.500 0.750 0.250
Rh6 0.750 0.250 0.500
Rh7 0.750 0.500 0.250

Calculated values
Total energy, eV for the cell shown: -139.68
Space group: Im-3m, No. 229

***

Magnetic moment in μB per cell, matching the order above: 8.5; 3.2; 7.2; 13.8
ΔH_f (0 K) in kJ/mol of formula units, matching the order above: -475; -628; -1104; -844